# 1
This record from Alexandria via LeMat-Bulk describes La2HN2 after structural relaxation. The functional is GGA-PBEsol.

a = 6.8317 Å, b = 6.8317 Å, c = 3.2447 Å
α = 90.00°, β = 90.00°, γ = 90.00°
Atoms (fractional coordinates):
La (0.1610, 0.3390, 0.0000)
La (0.3390, 0.8390, 0.0000)
La (0.6610, 0.1610, 0.0000)
La (0.8390, 0.6610, 0.0000)
H (0.0000, 0.0000, 0.5000)
H (0.5000, 0.5000, 0.5000)
N (0.1532, 0.6532, 0.5000)
N (0.3468, 0.1532, 0.5000)
N (0.6532, 0.8468, 0.5000)
N (0.8468, 0.3468, 0.5000)



# 2
This record from Alexandria via LeMat-Bulk describes LaH3N after structural relaxation. The functional is GGA-PBEsol.

a = 3.5186 Å, b = 3.5186 Å, c = 3.5186 Å
α = 90.00°, β = 90.00°, γ = 90.00°
Atoms (fractional coordinates):
La (0.0000, 0.0000, 0.0000)
H (0.0000, 0.5000, 0.5000)
H (0.5000, 0.0000, 0.5000)
H (0.5000, 0.5000, 0.0000)
N (0.5000, 0.5000, 0.5000)



# 3
This record from Alexandria via LeMat-Bulk describes LaH6S3N3O9 after structural relaxation. The functional is GGA-PBEsol.

a = 9.7447 Å, b = 9.7447 Å, c = 5.8694 Å
α = 90.00°, β = 90.00°, γ = 120.00°
Atoms (fractional coordinates):
La (0.3333, 0.6667, 0.0000)
La (0.6667, 0.3333, 0.5000)
H (0.0588, 0.7314, 0.5590)
H (0.0765, 0.8657, 0.3633)
H (0.1343, 0.2108, 0.3633)
H (0.2108, 0.0765, 0.8633)
H (0.2686, 0.3274, 0.5590)
H (0.3274, 0.0588, 0.0590)
H (0.6726, 0.9412, 0.5590)
H (0.7314, 0.6726, 0.0590)
H (0.7892, 0.9235, 0.3633)
H (0.8657, 0.7892, 0.8633)
H (0.9235, 0.1343, 0.8633)
H (0.9412, 0.2686, 0.0590)
S (0.0861, 0.3965, 0.4982)
S (0.3104, 0.9139, 0.4982)
S (0.3965, 0.3104, 0.9982)
S (0.6035, 0.6896, 0.4982)
S (0.6896, 0.0861, 0.9982)
S (0.9139, 0.6035, 0.9982)
N (0.1191, 0.8497, 0.5156)
N (0.1503, 0.2694, 0.5156)
N (0.2694, 0.1191, 0.0156)
N (0.7306, 0.8809, 0.5156)
N (0.8497, 0.7306, 0.0156)
N (0.8809, 0.1503, 0.0156)
O (0.0863, 0.7015, 0.9968)
O (0.1427, 0.4898, 0.2871)
O (0.1485, 0.4954, 0.7009)
O (0.2985, 0.3848, 0.9968)
O (0.3468, 0.8515, 0.7009)
O (0.3471, 0.8573, 0.2871)
O (0.3848, 0.0863, 0.4968)
O (0.4898, 0.3471, 0.7871)
O (0.4954, 0.3468, 0.2009)
O (0.5046, 0.6532, 0.7009)
O (0.5102, 0.6529, 0.2871)
O (0.6152, 0.9137, 0.9968)
O (0.6529, 0.1427, 0.7871)
O (0.6532, 0.1485, 0.2009)
O (0.7015, 0.6152, 0.4968)
O (0.8515, 0.5046, 0.2009)
O (0.8573, 0.5102, 0.7871)
O (0.9137, 0.2985, 0.4968)



# 4
This record from Alexandria via LeMat-Bulk describes LaH4S2NO8 after structural relaxation. The functional is GGA-PBEsol.

a = 7.0515 Å, b = 5.4305 Å, c = 9.2509 Å
α = 90.00°, β = 98.70°, γ = 90.00°
Atoms (fractional coordinates):
La (0.2000, 0.2500, 0.2731)
La (0.8000, 0.7500, 0.7269)
H (0.1672, 0.2500, 0.8101)
H (0.3127, 0.2500, 0.6790)
H (0.3826, 0.0963, 0.8367)
H (0.3826, 0.4037, 0.8367)
H (0.6174, 0.5963, 0.1633)
H (0.6174, 0.9037, 0.1633)
H (0.6873, 0.7500, 0.3210)
H (0.8328, 0.7500, 0.1899)
S (0.1934, 0.7500, 0.0713)
S (0.2761, 0.7500, 0.5664)
S (0.7239, 0.2500, 0.4336)
S (0.8066, 0.2500, 0.9287)
N (0.3103, 0.2500, 0.7907)
N (0.6897, 0.7500, 0.2093)
O (0.0655, 0.7500, 0.9305)
O (0.0820, 0.7500, 0.1977)
O (0.0938, 0.7500, 0.6272)
O (0.2859, 0.5252, 0.4775)
O (0.2859, 0.9748, 0.4775)
O (0.3157, 0.5257, 0.0849)
O (0.3157, 0.9743, 0.0849)
O (0.4383, 0.7500, 0.6891)
O (0.5617, 0.2500, 0.3109)
O (0.6843, 0.0257, 0.9151)
O (0.6843, 0.4743, 0.9151)
O (0.7141, 0.0252, 0.5225)
O (0.7141, 0.4748, 0.5225)
O (0.9062, 0.2500, 0.3728)
O (0.9180, 0.2500, 0.8023)
O (0.9345, 0.2500, 0.0695)



# 5
This record from Alexandria via LeMat-Bulk describes LaH6S3N3O9 after structural relaxation. The functional is GGA-PBEsol.

a = 5.8250 Å, b = 9.6541 Å, c = 9.7606 Å
α = 118.96°, β = 90.79°, γ = 92.08°
Atoms (fractional coordinates):
La (0.0000, 0.0000, 0.0000)
La (0.4992, 0.6656, 0.3469)
H (0.0497, 0.0237, 0.6200)
H (0.0673, 0.3926, 0.4193)
H (0.1383, 0.4942, 0.9109)
H (0.3600, 0.1641, 0.4328)
H (0.3968, 0.2453, 0.7527)
H (0.4315, 0.6184, 0.7273)
H (0.5516, 0.2851, 0.9189)
H (0.5750, 0.0471, 0.3348)
H (0.6158, 0.5177, 0.7799)
H (0.8094, 0.4163, 0.4996)
H (0.8947, 0.1473, 0.5835)
H (0.9418, 0.6213, 0.0223)
S (0.0052, 0.9400, 0.3641)
S (0.0146, 0.6427, 0.5868)
S (0.4849, 0.0248, 0.7552)
S (0.4899, 0.7263, 0.9871)
S (0.5229, 0.2363, 0.2698)
S (0.9764, 0.4258, 0.0798)
N (0.0333, 0.0762, 0.5501)
N (0.4674, 0.5790, 0.8063)
N (0.5209, 0.1617, 0.3894)
N (0.5269, 0.2111, 0.8001)
N (0.9817, 0.4512, 0.5221)
N (0.9831, 0.5042, 0.9635)
O (0.0006, 0.2567, 0.9765)
O (0.0327, 0.0291, 0.2792)
O (0.1614, 0.4926, 0.2017)
O (0.1898, 0.8339, 0.3410)
O (0.2500, 0.9961, 0.7940)
O (0.2571, 0.6654, 0.5593)
O (0.2964, 0.8235, 0.0011)
O (0.3262, 0.1773, 0.1578)
O (0.4706, 0.6467, 0.0813)
O (0.5122, 0.4079, 0.3751)
O (0.5146, 0.9378, 0.5867)
O (0.6590, 0.9967, 0.8464)
O (0.7120, 0.8154, 0.0192)
O (0.7417, 0.1912, 0.1928)
O (0.7492, 0.4645, 0.1479)
O (0.7768, 0.8574, 0.3280)
O (0.8563, 0.6902, 0.5002)
O (0.9632, 0.7186, 0.7527)



# 6
This record from Alexandria via LeMat-Bulk describes NaLa2H after structural relaxation. The functional is GGA-PBEsol.

a = 5.2733 Å, b = 5.2733 Å, c = 5.2733 Å
α = 60.00°, β = 60.00°, γ = 60.00°
Atoms (fractional coordinates):
Na (0.0000, 0.0000, 0.0000)
La (0.2500, 0.2500, 0.2500)
La (0.7500, 0.7500, 0.7500)
H (0.5000, 0.5000, 0.5000)



# 7
This record from Alexandria via LeMat-Bulk describes LaNb2H after structural relaxation. The functional is GGA-PBEsol.

a = 5.9535 Å, b = 5.9535 Å, c = 5.9535 Å
α = 60.00°, β = 60.00°, γ = 60.00°
Atoms (fractional coordinates):
La (0.1250, 0.1250, 0.1250)
La (0.8750, 0.8750, 0.8750)
Nb (0.0000, 0.5000, 0.5000)
Nb (0.5000, 0.0000, 0.5000)
Nb (0.5000, 0.5000, 0.0000)
Nb (0.5000, 0.5000, 0.5000)
H (0.3750, 0.3750, 0.3750)
H (0.6250, 0.6250, 0.6250)



# 8
This record from Alexandria via LeMat-Bulk describes LaNb2H2 after structural relaxation. The functional is GGA-PBEsol.

a = 7.3832 Å, b = 7.3832 Å, c = 2.8154 Å
α = 90.00°, β = 90.00°, γ = 90.00°
Atoms (fractional coordinates):
La (0.0000, 0.0000, 0.0000)
La (0.5000, 0.5000, 0.0000)
Nb (0.1213, 0.3787, 0.0000)
Nb (0.3787, 0.8787, 0.0000)
Nb (0.6213, 0.1213, 0.0000)
Nb (0.8787, 0.6213, 0.0000)
H (0.1010, 0.6010, 0.5000)
H (0.3990, 0.1010, 0.5000)
H (0.6010, 0.8990, 0.5000)
H (0.8990, 0.3990, 0.5000)



# 9
This record from Alexandria via LeMat-Bulk describes LaNiH3 after structural relaxation. The functional is GGA-PBEsol.

a = 3.6344 Å, b = 3.6344 Å, c = 3.6344 Å
α = 90.00°, β = 90.00°, γ = 90.00°
Atoms (fractional coordinates):
La (0.0000, 0.0000, 0.0000)
Ni (0.5000, 0.5000, 0.5000)
H (0.0000, 0.5000, 0.5000)
H (0.5000, 0.0000, 0.5000)
H (0.5000, 0.5000, 0.0000)



# 10
This record from Alexandria via LeMat-Bulk describes La2NiH after structural relaxation. The functional is GGA-PBEsol.

a = 4.7813 Å, b = 4.7813 Å, c = 4.7813 Å
α = 60.00°, β = 60.00°, γ = 60.00°
Atoms (fractional coordinates):
La (0.2500, 0.2500, 0.2500)
La (0.7500, 0.7500, 0.7500)
Ni (0.0000, 0.0000, 0.0000)
H (0.5000, 0.5000, 0.5000)



# 11
This record from Alexandria via LeMat-Bulk describes LaNiH2 after structural relaxation. The functional is GGA-PBEsol.

a = 4.0949 Å, b = 4.0949 Å, c = 4.0949 Å
α = 60.00°, β = 60.00°, γ = 60.00°
Atoms (fractional coordinates):
La (0.0000, 0.0000, 0.0000)
Ni (0.5000, 0.5000, 0.5000)
H (0.2500, 0.2500, 0.2500)
H (0.7500, 0.7500, 0.7500)



# 12
This record from Alexandria via LeMat-Bulk describes La3NiH after structural relaxation. The functional is GGA-PBEsol.

a = 4.8294 Å, b = 4.8294 Å, c = 4.8294 Å
α = 90.00°, β = 90.00°, γ = 90.00°
Atoms (fractional coordinates):
La (0.0000, 0.0000, 0.5000)
La (0.0000, 0.5000, 0.0000)
La (0.5000, 0.0000, 0.0000)
Ni (0.5000, 0.5000, 0.5000)
H (0.0000, 0.0000, 0.0000)



no.,VASP energy (eV/atom)
1,-6.8922
2,-4.3922
3,-6.2846
4,-6.4753
5,-6.2841
6,-3.2842
7,-7.4443
8,-6.0274
9,-4.7823
10,-5.1427
11,-4.7025
12,-5.0396